VASP calculation (PBE-GGA) on an optimized crystal structure of Sr2CoW.

## Properties
* formation enthalpy at 0 K: 0.984 eV/atom
* symmetry: I-42d
* DFT total energy: -4.871 eV/atom

abc: 11.2884 11.2884 8.2929
angles: 47.11 47.11 90.00
With the nearest neighbours (Å) after each atom.
Fractional coordinates of all 8 atoms:
Sr1 0.4476 0.1250 0.2500  2 Co 2.99
Sr2 0.3024 0.6250 0.2500  2 Co 2.99
Sr3 0.3750 0.5524 0.7500  2 Co 2.99
Sr4 0.8750 0.6976 0.7500  2 Co 2.99
Co1 0.5000 0.5000 0.0000  2 W 2.25
Co2 0.2500 0.7500 0.5000  2 W 2.25
W1 0.0000 0.0000 0.0000  2 Co 2.25
W2 0.7500 0.2500 0.5000  2 Co 2.25

---

VASP calculation (PBE-GGA) on an optimized crystal structure of HfSnCl.

## Properties
* symmetry: C2/m
* DFT total energy: -6.025 eV/atom
* formation energy from raw total energies: -0.76 eV/atom

abc: 3.2456 5.8151 9.1444
angles: 75.38 79.78 73.80
With the nearest neighbours (Å) after each atom.
Fractional coordinates of all 6 atoms:
Hf1 0.2883 0.7851 0.6383  2 Cl 2.54
Hf2 0.7117 0.2149 0.3617  2 Cl 2.54
Sn1 0.9784 0.6871 0.3561  5 Hf 2.96-3.16, 3 Sn 2.96-3.25
Sn2 0.0216 0.3129 0.6439  5 Hf 2.96-3.16, 3 Sn 2.96-3.25
Cl1 0.3223 0.2106 0.1448  2 Hf 2.54
Cl2 0.6777 0.7894 0.8552  2 Hf 2.54

---

VASP calculation (PBE-GGA) on an optimized crystal structure of NaMnCr2.

## Properties
* formation enthalpy at 0 K: 0.828 eV/atom
* symmetry: Fm-3m
* DFT total energy: -6.606 eV/atom

abc: 4.4741 4.4741 4.4741
angles: 60.00 60.00 60.00
With the nearest neighbours (Å) after each atom.
Fractional coordinates of all 4 atoms:
Cr1 0.2500 0.2500 0.2500  4 Mn 2.74, 4 Na 2.74
Cr2 0.7500 0.7500 0.7500  4 Mn 2.74, 4 Na 2.74
Mn1 0.5000 0.5000 0.5000  8 Cr 2.74
Na1 0.0000 0.0000 0.0000  8 Cr 2.74

---

VASP calculation (PBE-GGA) on an optimized crystal structure of Ac11Tl9Pd4.

## Properties
* formation enthalpy at 0 K: -0.528 eV/atom
* symmetry: Cmmm
* DFT total energy: -4.163 eV/atom

abc: 4.0705 14.3204 14.3204
angles: 112.86 90.00 90.00
With the nearest neighbours (Å) after each atom.
Fractional coordinates of all 24 atoms:
Ac1 0.0000 0.5835 0.9221  2 Pd 3.08
Ac2 0.0000 0.4165 0.0779  2 Pd 3.08
Ac3 0.0000 0.9221 0.5835  2 Pd 3.08
Ac4 0.0000 0.0779 0.4165  2 Pd 3.08
Ac5 0.0000 0.6271 0.3729  4 Pd 3.21
Ac6 0.0000 0.3729 0.6271  4 Pd 3.21
Ac7 0.0000 0.8358 0.1642  8 Tl 3.52-3.79, 3 Ac 3.92
Ac8 0.0000 0.1642 0.8358  8 Tl 3.52-3.79, 3 Ac 3.92
Ac9 0.0000 0.0000 0.0000  8 Tl 3.51, 2 Ac 3.92
Ac10 0.0000 0.6907 0.6907  4 Pd 3.19
Ac11 0.0000 0.3093 0.3093  4 Pd 3.19
Tl1 0.5000 0.6328 0.1584  1 Tl 3.31, 1 Pd 3.37, 4 Ac 3.51-3.52
Tl2 0.5000 0.3672 0.8416  1 Tl 3.31, 1 Pd 3.37, 4 Ac 3.51-3.52
Tl3 0.5000 0.1584 0.6328  1 Tl 3.31, 1 Pd 3.37, 4 Ac 3.51-3.52
Tl4 0.5000 0.8416 0.3672  1 Tl 3.31, 1 Pd 3.37, 4 Ac 3.51-3.52
Tl5 0.5000 0.7832 0.9257  1 Pd 3.29, 1 Tl 3.40, 4 Ac 3.49-3.51
Tl6 0.5000 0.2168 0.0743  1 Pd 3.29, 1 Tl 3.40, 4 Ac 3.49-3.51
Tl7 0.5000 0.9257 0.7832  1 Pd 3.29, 1 Tl 3.40, 4 Ac 3.49-3.51
Tl8 0.5000 0.0743 0.2168  1 Pd 3.29, 1 Tl 3.40, 4 Ac 3.49-3.51
Tl9 0.5000 0.5000 0.5000  4 Pd 3.37, 8 Ac 3.64-3.65
Pd1 0.5000 0.5518 0.7508  6 Ac 3.08-3.21, 3 Tl 3.29-3.37
Pd2 0.5000 0.4482 0.2492  6 Ac 3.08-3.21, 3 Tl 3.29-3.37
Pd3 0.5000 0.7508 0.5518  6 Ac 3.08-3.21, 3 Tl 3.29-3.37
Pd4 0.5000 0.2492 0.4482  6 Ac 3.08-3.21, 3 Tl 3.29-3.37